Compound: MnGa3I
Source: Alexandria via LeMat-Bulk
Functional: PBE-GGA
Structure: relaxed

abc: 4.847 4.847 4.847
angles: 90.00 90.00 90.00
Sites, in units of the cell vectors:
I: 0.500 0.500 0.500
Mn: 0.000 0.000 0.000
Ga: 0.000 0.500 0.000
Ga: 0.000 0.000 0.500
Ga: 0.500 0.000 0.000

Properties
Its raw total energy is -3.807 eV per atom. The formation energy from raw total energies is 0.153 eV per atom. As for the space group: Pm-3m.



Compound: KCdTe2N
Source: Alexandria via LeMat-Bulk
Functional: PBE-GGA
Structure: relaxed

abc: 6.060 6.060 4.489
angles: 90.00 90.00 90.00
Sites, in units of the cell vectors:
N: 0.000 0.000 0.500
K: 0.000 0.000 0.000
Te: 0.000 0.500 0.000
Te: 0.500 0.000 0.000
Cd: 0.500 0.500 0.500

Properties
Its raw total energy is -1.788 eV per atom. The formation energy from raw total energies is 1.536 eV per atom. The energy above the most stable polymorph in this dataset is 1004 meV/atom. As for the space group: P4/mmm.



Compound: Ga3FeCo
Source: Alexandria via LeMat-Bulk
Functional: PBE-GGA
Structure: relaxed

abc: 4.480 4.480 4.480
angles: 90.00 90.00 90.00
Sites, in units of the cell vectors:
Co: 0.000 0.000 0.000
Fe: 0.500 0.500 0.500
Ga: 0.000 0.500 0.000
Ga: 0.000 0.000 0.500
Ga: 0.500 0.000 0.000

Properties
Its raw total energy is -4.556 eV per atom. The energy above the most stable polymorph in this dataset is 0 meV/atom. As for the space group: Pm-3m.



Compound: Ac4CuGe2
Source: Alexandria via LeMat-Bulk
Functional: PBE-GGA
Structure: relaxed

abc: 8.395 8.395 8.394
angles: 110.84 110.83 106.78
Sites, in units of the cell vectors:
Ac: 0.007 0.248 0.382
Ac: 0.384 0.502 0.259
Ac: 0.866 0.625 0.618
Ac: 0.752 0.134 0.759
Ac: 0.375 0.993 0.241
Ac: 0.243 0.125 0.741
Ac: 0.498 0.757 0.882
Ac: 0.875 0.616 0.118
Cu: 0.250 0.750 0.500
Cu: 0.001 0.001 0.000
Ge: 0.506 0.375 0.631
Ge: 0.744 0.875 0.369
Ge: 0.625 0.256 0.131
Ge: 0.125 0.494 0.869

Properties
Its raw total energy is -4.695 eV per atom. The energy above the most stable polymorph in this dataset is 0 meV/atom. As for the space group: I2_12_12_1.